one) Computed, not measured: a geometry-optimized TcTeS2N structure at the GGA-PBE level of DFT.

CIF file:
```
data_TcTeS2N
_chemical_formula_sum 'Tc1 Te1 S2 N1'
_space_group_name_H-M_alt 'P 1'
_space_group_IT_number 1
_cell_length_a 4.849
_cell_length_b 4.849
_cell_length_c 3.752
_cell_angle_alpha 90.00
_cell_angle_beta 90.00
_cell_angle_gamma 90.00
loop_
_space_group_symop_operation_xyz
'x,y,z'
loop_
_atom_site_label
_atom_site_type_symbol
_atom_site_fract_x
_atom_site_fract_y
_atom_site_fract_z
Te1 Te 0.500 0.500 0.500
N1 N 0.000 0.000 0.500
S1 S 0.500 0.000 0.000
S2 S 0.000 0.500 0.000
Tc1 Tc 0.000 0.000 0.000
```



two) Computed, not measured: a geometry-optimized TcTeS2N structure at the GGA-PBE level of DFT.

CIF file:
```
data_TcTeS2N
_chemical_formula_sum 'Tc1 Te1 S2 N1'
_space_group_name_H-M_alt 'P 1'
_space_group_IT_number 1
_cell_length_a 5.115
_cell_length_b 5.115
_cell_length_c 3.919
_cell_angle_alpha 90.00
_cell_angle_beta 90.00
_cell_angle_gamma 90.00
loop_
_space_group_symop_operation_xyz
'x,y,z'
loop_
_atom_site_label
_atom_site_type_symbol
_atom_site_fract_x
_atom_site_fract_y
_atom_site_fract_z
S1 S 0.500 0.000 0.000
Te1 Te 0.000 0.000 0.000
S2 S 0.000 0.500 0.000
Tc1 Tc 0.500 0.500 0.500
N1 N 0.000 0.000 0.500
```



Bottom line: one), by a margin of 103.3 kJ/mol of atoms.



one) Computed, not measured: a geometry-optimized TiTcSN2 structure at the GGA-PBE level of DFT.

CIF file:
```
data_TiTcSN2
_chemical_formula_sum 'Ti1 Tc1 S1 N2'
_space_group_name_H-M_alt 'P 1'
_space_group_IT_number 1
_cell_length_a 3.804
_cell_length_b 3.804
_cell_length_c 4.984
_cell_angle_alpha 90.00
_cell_angle_beta 90.00
_cell_angle_gamma 90.00
loop_
_space_group_symop_operation_xyz
'x,y,z'
loop_
_atom_site_label
_atom_site_type_symbol
_atom_site_fract_x
_atom_site_fract_y
_atom_site_fract_z
Tc1 Tc 0.000 0.000 0.000
S1 S 0.000 0.000 0.500
N1 N 0.000 0.500 0.000
N2 N 0.500 0.000 0.000
Ti1 Ti 0.500 0.500 0.500
```



two) Computed, not measured: a geometry-optimized TiTcSN2 structure at the GGA-PBE level of DFT.

CIF file:
```
data_TiTcSN2
_chemical_formula_sum 'Ti1 Tc1 S1 N2'
_space_group_name_H-M_alt 'P 1'
_space_group_IT_number 1
_cell_length_a 3.841
_cell_length_b 3.841
_cell_length_c 5.013
_cell_angle_alpha 90.00
_cell_angle_beta 90.00
_cell_angle_gamma 90.00
loop_
_space_group_symop_operation_xyz
'x,y,z'
loop_
_atom_site_label
_atom_site_type_symbol
_atom_site_fract_x
_atom_site_fract_y
_atom_site_fract_z
Tc1 Tc 0.500 0.500 0.500
Ti1 Ti 0.000 0.000 0.000
S1 S 0.000 0.000 0.500
N1 N 0.500 0.000 0.000
N2 N 0.000 0.500 0.000
```



Bottom line: one), by a margin of 28.4 kJ/mol of atoms.